Material: SrNbCu2
Method: DFT, PBE
State: relaxed

The structure belongs to space group Fm-3m (No. 225); the cell edges are 6.840, 6.840 and 6.840 Å and the angles 90.00°, 90.00° and 90.00°. The inequivalent atoms are Sr at (0.000, 0.000, 0.000), Nb at (0.000, 0.000, 0.500) and Cu at (0.250, 0.250, 0.250).

The value obtained for the density of states at the Fermi level is 15.7 states/eV/cell. Its density is 6.384 Mg/m³. The value obtained for the energy of formation is 0.58 eV per atom. For the total energy, the calculation gives -4.41 eV per atom.

***

Material: SrNbCu
Method: DFT, PBE
State: relaxed

The structure belongs to space group Ima2 (No. 46); the cell edges are 4.454, 8.120 and 7.773 Å and the angles 90.00°, 90.00° and 90.00°. The inequivalent atoms are Sr at (0.250, 0.184, 0.000), Nb at (0.250, 0.591, 0.831) and Cu at (0.250, 0.585, 0.170).

The value obtained for the density of states at the Fermi level is 5.1 states/eV/cell. Its density is 5.767 Mg/m³. The value obtained for the energy of formation is 0.44 eV per atom. For the total energy, the calculation gives -4.85 eV per atom.

***

Material: SrNbCu
Method: DFT, PBE
State: relaxed

The structure belongs to space group Cmmm (No. 65); the cell edges are 5.030, 5.053 and 11.274 Å and the angles 90.00°, 90.00° and 90.00°. The inequivalent atoms are Sr at (0.000, 0.000, 0.174), Nb at (0.000, 0.500, 0.397), Cu at (0.000, 0.000, 0.500) and Cu at (0.000, 0.500, 0.000).

The value obtained for the density of states at the Fermi level is 14.1 states/eV/cell. Its density is 5.658 Mg/m³. The value obtained for the energy of formation is 0.44 eV per atom. For the total energy, the calculation gives -4.84 eV per atom.

***

Material: SrNbCu
Method: DFT, PBE
State: relaxed

The structure belongs to space group Cmcm (No. 63); the cell edges are 4.649, 12.021 and 5.148 Å and the angles 90.00°, 90.00° and 90.00°. The inequivalent atoms are Sr at (0.000, 0.207, 0.250), Nb at (0.000, 0.500, 0.000) and Cu at (0.000, 0.056, 0.750).

The value obtained for the density of states at the Fermi level is 11.6 states/eV/cell. Its density is 5.634 Mg/m³. The value obtained for the energy of formation is 0.29 eV per atom. For the total energy, the calculation gives -4.99 eV per atom.

***

Material: SrNbCu
Method: DFT, PBE
State: relaxed

The structure belongs to space group Pnma (No. 62); the cell edges are 6.887, 4.700 and 8.972 Å and the angles 90.00°, 90.00° and 90.00°. The inequivalent atoms are Sr at (0.076, 0.250, 0.156), Nb at (0.052, 0.250, 0.544) and Cu at (0.226, 0.250, 0.823).

The value obtained for the density of states at the Fermi level is 9.3 states/eV/cell. Its density is 5.582 Mg/m³. The value obtained for the energy of formation is 0.37 eV per atom. For the total energy, the calculation gives -4.91 eV per atom.

***

Material: SrNbCu
Method: DFT, PBE
State: relaxed

The structure belongs to space group P2_1/m (No. 11); the cell edges are 5.363, 4.593 and 6.124 Å and the angles 90.00°, 103.06° and 90.00°. The inequivalent atoms are Sr at (0.230, 0.250, 0.414), Nb at (0.402, 0.750, 0.006) and Cu at (0.075, 0.250, 0.913).

The value obtained for the density of states at the Fermi level is 4.5 states/eV/cell. Its density is 5.516 Mg/m³. The value obtained for the energy of formation is 0.35 eV per atom. For the total energy, the calculation gives -4.94 eV per atom.

***

Material: SrNbTl2Cu
Method: DFT, PBE
State: relaxed

The structure belongs to space group P4/mmm (No. 123); the cell edges are 5.522, 5.522 and 4.878 Å and the angles 90.00°, 90.00° and 90.00°. The inequivalent atoms are Sr at (0.000, 0.000, 0.000), Nb at (0.500, 0.500, 0.500), Tl at (0.000, 0.500, 0.500) and Cu at (0.500, 0.500, 0.000).

The value obtained for the density of states at the Fermi level is 4.4 states/eV/cell. Its density is 7.288 Mg/m³. The value obtained for the energy of formation is 0.39 eV per atom. For the total energy, the calculation gives -3.73 eV per atom.

***

Material: TaNbCu2
Method: DFT, PBE
State: relaxed

The structure belongs to space group P4/mmm (No. 123); the cell edges are 3.132, 3.132 and 6.238 Å and the angles 90.00°, 90.00° and 90.00°. The inequivalent atoms are Ta at (0.000, 0.000, 0.000), Nb at (0.000, 0.000, 0.500) and Cu at (0.500, 0.500, 0.241).

The value obtained for the density of states at the Fermi level is 1.2 states/eV/cell. Its density is 10.880 Mg/m³. The value obtained for the energy of formation is 0.18 eV per atom. For the total energy, the calculation gives -7.35 eV per atom.

***

Material: Ta4Nb3Cu
Method: DFT, PBE
State: relaxed

The structure belongs to space group P4/mmm (No. 123); the cell edges are 3.330, 3.330 and 12.652 Å and the angles 90.00°, 90.00° and 90.00°. The inequivalent atoms are Ta at (0.000, 0.000, 0.114), Ta at (0.000, 0.000, 0.368), Nb at (0.500, 0.500, 0.240), Nb at (0.500, 0.500, 0.500) and Cu at (0.500, 0.500, 0.000).

The value obtained for the density of states at the Fermi level is 9.9 states/eV/cell. Its density is 12.616 Mg/m³. The value obtained for the energy of formation is 0.03 eV per atom. For the total energy, the calculation gives -10.18 eV per atom.

***

Material: TaNbCu3
Method: DFT, PBE
State: relaxed

The structure belongs to space group Pm-3m (No. 221); the cell edges are 4.582, 4.582 and 4.582 Å and the angles 90.00°, 90.00° and 90.00°. The inequivalent atoms are Ta at (0.000, 0.000, 0.000), Nb at (0.500, 0.500, 0.500) and Cu at (0.000, 0.000, 0.500).

The value obtained for the density of states at the Fermi level is 4.9 states/eV/cell. Its density is 8.016 Mg/m³. The value obtained for the energy of formation is 1.59 eV per atom. For the total energy, the calculation gives -5.25 eV per atom.

***

Material: TaNbCu4
Method: DFT, PBE
State: relaxed

The structure belongs to space group F-43m (No. 216); the cell edges are 6.945, 6.945 and 6.945 Å and the angles 90.00°, 90.00° and 90.00°. The inequivalent atoms are Ta at (0.000, 0.000, 0.000), Nb at (0.250, 0.250, 0.750) and Cu at (0.125, 0.125, 0.375).

The value obtained for the density of states at the Fermi level is 28.6 states/eV/cell. Its density is 10.469 Mg/m³. The value obtained for the energy of formation is 0.12 eV per atom. For the total energy, the calculation gives -6.27 eV per atom.

***

Material: TaNb3Cu
Method: DFT, PBE
State: relaxed

The structure belongs to space group Pm-3m (No. 221); the cell edges are 4.642, 4.642 and 4.642 Å and the angles 90.00°, 90.00° and 90.00°. The inequivalent atoms are Ta at (0.000, 0.000, 0.000), Nb at (0.000, 0.500, 0.500) and Cu at (0.500, 0.500, 0.500).

The value obtained for the density of states at the Fermi level is 9.8 states/eV/cell. Its density is 8.687 Mg/m³. The value obtained for the energy of formation is 1.16 eV per atom. For the total energy, the calculation gives -8.07 eV per atom.

***

Material: Ta3NbCu
Method: DFT, PBE
State: relaxed

The structure belongs to space group Pm-3m (No. 221); the cell edges are 4.633, 4.633 and 4.633 Å and the angles 90.00°, 90.00° and 90.00°. The inequivalent atoms are Ta at (0.000, 0.000, 0.500), Nb at (0.500, 0.500, 0.500) and Cu at (0.000, 0.000, 0.000).

The value obtained for the density of states at the Fermi level is 11.9 states/eV/cell. Its density is 11.677 Mg/m³. The value obtained for the energy of formation is 1.17 eV per atom. For the total energy, the calculation gives -8.77 eV per atom.

***

Material: TaNbCu2
Method: DFT, PBE
State: relaxed

The structure belongs to space group I-42d (No. 122); the cell edges are 7.097, 7.097 and 5.152 Å and the angles 90.00°, 90.00° and 90.00°. The inequivalent atoms are Ta at (0.000, 0.000, 0.000), Nb at (0.000, 0.000, 0.500) and Cu at (0.248, 0.750, 0.125).

The value obtained for the density of states at the Fermi level is 14.9 states/eV/cell. Its density is 10.263 Mg/m³. The value obtained for the energy of formation is 0.53 eV per atom. For the total energy, the calculation gives -7.00 eV per atom.

***

Material: TaNbCu2
Method: DFT, PBE
State: relaxed

The structure belongs to space group Fm-3m (No. 225); the cell edges are 6.254, 6.254 and 6.254 Å and the angles 90.00°, 90.00° and 90.00°. The inequivalent atoms are Ta at (0.000, 0.000, 0.000), Nb at (0.000, 0.000, 0.500) and Cu at (0.250, 0.250, 0.250).

The value obtained for the density of states at the Fermi level is 7.3 states/eV/cell. Its density is 10.885 Mg/m³. The value obtained for the energy of formation is 0.19 eV per atom. For the total energy, the calculation gives -7.34 eV per atom.

***

Material: TaNbCu
Method: DFT, PBE
State: relaxed

The structure belongs to space group P3m1 (No. 156); the cell edges are 4.7129, 4.7129 and 2.6140 Å and the angles 90.00°, 90.00° and 120.00°. The inequivalent atoms are Ta at (0.0000, 0.0000, 0.0000), Nb at (0.6667, 0.3333, 0.4399) and Cu at (0.3333, 0.6667, 0.7886).

The value obtained for the density of states at the Fermi level is 3.0 states/eV/cell. Its density is 11.143 Mg/m³. The value obtained for the energy of formation is 0.24 eV per atom. For the total energy, the calculation gives -8.43 eV per atom.

***

Material: TaNbCu
Method: DFT, PBE
State: relaxed

The structure belongs to space group P4/nmm (No. 129, origin choice 2); the cell edges are 3.282, 3.282 and 9.142 Å and the angles 90.00°, 90.00° and 90.00°. The inequivalent atoms are Ta at (0.250, 0.250, 0.089), Nb at (0.250, 0.250, 0.728) and Cu at (0.250, 0.250, 0.432).

The value obtained for the density of states at the Fermi level is 3.7 states/eV/cell. Its density is 11.375 Mg/m³. The value obtained for the energy of formation is 0.03 eV per atom. For the total energy, the calculation gives -8.64 eV per atom.

***

Material: TaNbCu2
Method: DFT, PBE
State: relaxed

The structure belongs to space group P4/mmm (No. 123); the cell edges are 3.948, 3.948 and 3.897 Å and the angles 90.00°, 90.00° and 90.00°. The inequivalent atoms are Ta at (0.000, 0.000, 0.000), Nb at (0.500, 0.500, 0.000) and Cu at (0.000, 0.500, 0.500).

The value obtained for the density of states at the Fermi level is 4.2 states/eV/cell. Its density is 10.959 Mg/m³. The value obtained for the energy of formation is 0.11 eV per atom. For the total energy, the calculation gives -7.42 eV per atom.

***

Material: Ta3NbCu
Method: DFT, PBE
State: relaxed

The structure belongs to space group Pm-3m (No. 221); the cell edges are 4.862, 4.862 and 4.862 Å and the angles 90.00°, 90.00° and 90.00°. The inequivalent atoms are Ta at (0.000, 0.000, 0.500), Nb at (0.000, 0.000, 0.000) and Cu at (0.500, 0.500, 0.500).

The value obtained for the density of states at the Fermi level is 7.0 states/eV/cell. Its density is 10.103 Mg/m³. The value obtained for the energy of formation is 1.85 eV per atom. For the total energy, the calculation gives -8.09 eV per atom.

***

Material: TaNb2Cu6
Method: DFT, PBE
State: relaxed

The structure belongs to space group P6/mmm (No. 191); the cell edges are 7.4276, 7.4276 and 2.6339 Å and the angles 90.00°, 90.00° and 120.00°. The inequivalent atoms are Ta at (0.0000, 0.0000, 0.0000), Nb at (0.3333, 0.6667, 0.0000) and Cu at (0.0000, 0.3326, 0.5000).

The value obtained for the density of states at the Fermi level is 4.9 states/eV/cell. Its density is 9.870 Mg/m³. The value obtained for the energy of formation is 0.02 eV per atom. For the total energy, the calculation gives -6.26 eV per atom.